No. 1
## RbLiTlBi (PBE)

Data for a relaxed RbLiTlBi crystal.

Cell and atoms, written as POSCAR:
```
RbLiTlBi
1.0
0.000 4.029 4.029
4.029 0.000 4.029
4.029 4.029 0.000
Rb Li Tl Bi
1 1 1 1
direct
0.000 0.000 0.000
0.750 0.750 0.750
0.250 0.250 0.250
0.500 0.500 0.500
```

Values from the calculation:
Final energy, eV per cell: -9.94
Symmetry: F-43m (216)
D(E_F), states/eV per cell: 0.952
Excess energy over the best structure of this formula in the dataset, kcal/mol of atoms: 2.966


No. 2
## LiCeTeBr (PBE)

Data for a relaxed LiCeTeBr crystal.

Cell and atoms, written as POSCAR:
```
LiCeTeBr
1.0
2.188 1.264 14.737
-2.188 1.264 14.737
0.000 -2.527 14.737
Li Ce Te Br
2 2 2 2
direct
0.188 0.188 0.188
0.812 0.812 0.812
0.412 0.412 0.412
0.588 0.588 0.588
0.124 0.124 0.124
0.876 0.876 0.876
0.294 0.294 0.294
0.706 0.706 0.706
```

Values from the calculation:
Final energy, eV per cell: -35.57
Symmetry: R-3m (166)
D(E_F), states/eV per cell: 14.231